Record 1
Density functional theory data (PBE) for PrDyLu2 after structural relaxation.

It has space group R-3m (No. 166, hexagonal axes), with a = 3.5506 Å, b = 3.5506 Å, c = 34.3883 Å, α = 90.00°, β = 90.00° and γ = 120.00°. The asymmetric unit holds Pr at (0.0000, 0.0000, 0.0000), Dy at (0.0000, 0.0000, 0.5000) and Lu at (0.0000, 0.0000, 0.2486).

The value obtained for the density of states at the Fermi level is 1.27 states/eV per atom. The offset from the most stable computed form comes out at 0 meV/atom. For the energy of formation from the pure elements, the calculation gives 0.1 eV per formula unit.


Record 2
Density functional theory data (PBE) for TbPrDyLu after structural relaxation.

It has space group F-43m (No. 216), with a = 8.042 Å, b = 8.042 Å, c = 8.042 Å, α = 90.00°, β = 90.00° and γ = 90.00°. The asymmetric unit holds Tb at (0.000, 0.000, 0.000), Pr at (0.000, 0.000, 0.500), Dy at (0.250, 0.250, 0.750) and Lu at (0.250, 0.250, 0.250).

The value obtained for the density of states at the Fermi level is 1.63 states/eV per atom. For the energy of formation from the pure elements, the calculation gives 0.5 eV per formula unit.


Record 3
Density functional theory data (PBE) for PrDyLuTh after structural relaxation.

It has space group F-43m (No. 216), with a = 8.039 Å, b = 8.039 Å, c = 8.039 Å, α = 90.00°, β = 90.00° and γ = 90.00°. The asymmetric unit holds Pr at (0.000, 0.000, 0.000), Dy at (0.250, 0.250, 0.750), Lu at (0.250, 0.250, 0.250) and Th at (0.000, 0.000, 0.500).

The value obtained for the density of states at the Fermi level is 1.97 states/eV per atom. For the energy of formation from the pure elements, the calculation gives 0.5 eV per formula unit.


Record 4
Density functional theory data (PBE) for PrDyYLu after structural relaxation.

It has space group F-43m (No. 216), with a = 8.052 Å, b = 8.052 Å, c = 8.052 Å, α = 90.00°, β = 90.00° and γ = 90.00°. The asymmetric unit holds Pr at (0.000, 0.000, 0.000), Dy at (0.000, 0.000, 0.500), Y at (0.250, 0.250, 0.750) and Lu at (0.250, 0.250, 0.250).

The value obtained for the density of states at the Fermi level is 1.56 states/eV per atom. The offset from the most stable computed form comes out at 0 meV/atom. For the energy of formation from the pure elements, the calculation gives 0.4 eV per formula unit.


Record 5
Density functional theory data (PBE) for PrDyLuZn after structural relaxation.

It has space group F-43m (No. 216), with a = 7.596 Å, b = 7.596 Å, c = 7.596 Å, α = 90.00°, β = 90.00° and γ = 90.00°. The asymmetric unit holds Pr at (0.000, 0.000, 0.000), Dy at (0.000, 0.000, 0.500), Lu at (0.250, 0.250, 0.750) and Zn at (0.250, 0.250, 0.250).

The value obtained for the density of states at the Fermi level is 1.10 states/eV per atom. For the energy of formation from the pure elements, the calculation gives 0.1 eV per formula unit.


Record 6
Density functional theory data (PBE) for DyLuPt2 after structural relaxation.

It has space group P4/mmm (No. 123), with a = 4.907 Å, b = 4.907 Å, c = 3.437 Å, α = 90.00°, β = 90.00° and γ = 90.00°. The asymmetric unit holds Dy at (0.000, 0.000, 0.000), Lu at (0.500, 0.500, 0.000) and Pt at (0.000, 0.500, 0.500).

The value obtained for the density of states at the Fermi level is 0.52 states/eV per atom. The offset from the most stable computed form comes out at 3 meV/atom. For the energy of formation from the pure elements, the calculation gives -5.1 eV per formula unit.


Record 7
Density functional theory data (PBE) for Dy2LuPt after structural relaxation.

It has space group P4/mmm (No. 123), with a = 3.566 Å, b = 3.566 Å, c = 8.240 Å, α = 90.00°, β = 90.00° and γ = 90.00°. The asymmetric unit holds Dy at (0.000, 0.000, 0.200), Lu at (0.500, 0.500, 0.500) and Pt at (0.500, 0.500, 0.000).

The value obtained for the density of states at the Fermi level is 1.27 states/eV per atom. The offset from the most stable computed form comes out at 0 meV/atom. For the energy of formation from the pure elements, the calculation gives -2.3 eV per formula unit.


Record 8
Density functional theory data (PBE) for DyLuPt2 after structural relaxation.

It has space group R-3m (No. 166, hexagonal axes), with a = 4.0298 Å, b = 4.0298 Å, c = 19.7262 Å, α = 90.00°, β = 90.00° and γ = 120.00°. The asymmetric unit holds Dy at (0.0000, 0.0000, 0.0000), Lu at (0.0000, 0.0000, 0.5000) and Pt at (0.0000, 0.0000, 0.2473).

The value obtained for the density of states at the Fermi level is 0.61 states/eV per atom. The offset from the most stable computed form comes out at 117 meV/atom. For the energy of formation from the pure elements, the calculation gives -4.6 eV per formula unit.


In order of appearance, total magnetic moment = 0.0 0.0 0.0 0.0 0.0 0.0 0.0 0.0 μB/cell.
In order of appearance, uncorrected energy = -4.58 -4.52 -5.21 -4.98 -3.78 -6.56 -5.51 -6.45 eV/atom.